Material: CuNi2O3
Method: DFT, GGA+U
State: relaxed

abc: 9.3541 4.1609 3.0331
angles: 90.00 103.95 90.00
With the nearest neighbours (Å) after each atom.
Space group C2/m (No. 12)
Asymmetric unit:
Cu: 0.0000 0.0000 0.0000 [2 per cell]  4 O 1.99-2.08
Ni: 0.1676 0.5000 0.6590 [4 per cell]  6 O 2.08-2.22
O: 0.0000 0.5000 0.0000 [2 per cell]  4 Ni 2.08-2.22, 2 Cu 2.08
O: 0.1733 0.0000 0.7254 [4 per cell]  1 Cu 1.99, 4 Ni 2.09-2.10

## Properties
ΔE to the lowest computed polymorph: 0.022 eV/atom
magnetic moment: 3.80 μB/f.u.
VASP energy: -4.84 eV/atom